Arrangement A

The following is a PBE calculation of a relaxed Cr3ReAg crystal, from Alexandria.

Crystal system ... cubic
Symmetry ... Pm-3m (221)

a b c (Å): 4.6804 4.6804 4.6804
angles (deg): 90.00 90.00 90.00
Last column: magnetic moment on the atom in μB.
Fractional coordinates of all 5 atoms:
Re  0.0000  0.0000  0.0000  -0.86
Ag  0.5000  0.5000  0.5000  0.01
Cr  0.0000  0.5000  0.0000  2.86
Cr  0.0000  0.0000  0.5000  2.56
Cr  0.5000  0.0000  0.0000  3.34



Arrangement B

The following is a PBE calculation of a relaxed Cr3ReAg crystal, from Alexandria.

Crystal system ... cubic
Symmetry ... Pm-3m (221)

a b c (Å): 4.4530 4.4530 4.4530
angles (deg): 90.00 90.00 90.00
Fractional coordinates of all 5 atoms:
Re  0.5000  0.5000  0.5000
Ag  0.0000  0.0000  0.0000
Cr  0.0000  0.5000  0.0000
Cr  0.0000  0.0000  0.5000
Cr  0.5000  0.0000  0.0000



Stability, highest: arrangement A



Arrangement A

The following is a PBE calculation of a relaxed CrRe2Ag crystal, from Alexandria.

Crystal system ... tetragonal
Symmetry ... P4/mmm (123)

a b c (Å): 3.8291 3.8300 3.9942
angles (deg): 90.00 90.00 90.00
Last column: magnetic moment on the atom in μB.
Fractional coordinates of all 4 atoms:
Ag  0.5000  0.0000  0.5000  -0.01
Cr  0.0000  0.5000  0.5000  1.10
Re  0.0000  0.0000  0.0000  -0.16
Re  0.5000  0.5000  0.0000  -0.16



Arrangement B

The following is a PBE calculation of a relaxed CrRe2Ag crystal, from Alexandria.

Crystal system ... tetragonal
Symmetry ... I4/mmm (139)

a b c (Å): 4.7980 4.7980 4.7980
angles (deg): 132.71 132.71 69.12
Fractional coordinates of all 4 atoms:
Ag  0.2500  0.7500  0.5000
Cr  0.7500  0.2500  0.5000
Re  0.0000  0.0000  0.0000
Re  0.5000  0.5000  0.0000



Stability, highest: arrangement A



Arrangement A

The following is a PBE calculation of a relaxed CrRe2Ag crystal, from Alexandria.

Crystal system ... tetragonal
Symmetry ... I-42d (122)

a b c (Å): 3.7651 3.7651 9.9306
angles (deg): 79.07 79.07 90.00
Last column: magnetic moment on the atom in μB.
Fractional coordinates of all 8 atoms:
Re  0.5836  0.1250  0.2500  -0.09
Re  0.1664  0.6250  0.2500  -0.09
Re  0.3750  0.4164  0.7500  -0.09
Re  0.8750  0.8336  0.7500  -0.08
Ag  0.0000  0.0000  0.0000  0.03
Ag  0.7500  0.2500  0.5000  0.03
Cr  0.5000  0.5000  0.0000  3.06
Cr  0.2500  0.7500  0.5000  3.07



Arrangement B

The following is a PBE calculation of a relaxed CrRe2Ag crystal, from Alexandria.

Crystal system ... cubic
Symmetry ... Fm-3m (225)

a b c (Å): 4.3661 4.3661 4.3661
angles (deg): 60.00 60.00 60.00
Fractional coordinates of all 4 atoms:
Re  0.2500  0.2500  0.2500
Re  0.7500  0.7500  0.7500
Ag  0.5000  0.5000  0.5000
Cr  0.0000  0.0000  0.0000



Stability, highest: arrangement B